Entry 1:
## Nd5Y2Tm3 (PBE-GGA)

Data for an optimized crystal structure of Nd5Y2Tm3.

Unit cell a=10.6760 b=14.7736 c=10.1025 alpha=90.00 beta=121.86 gamma=90.00
With the nearest neighbours (Å) after each atom.
Space group C2/c (No. 15)
One atom of each set of equivalent atoms:
Nd 0.0000 0.0186 0.2500 (multiplicity 4)  3 Nd 3.12-3.38, 2 Tm 3.39, 2 Y 3.49
Nd 0.0000 0.2294 0.2500 (multiplicity 4)  3 Nd 3.12-3.46, 2 Y 3.44
Nd 0.0000 0.2695 0.7500 (multiplicity 4)  3 Tm 3.08-3.41
Nd 0.2480 0.3794 0.2479 (multiplicity 8)  3 Nd 3.38-3.47, 2 Tm 3.39-3.75, 2 Y 3.74-3.76
Y 0.1541 0.3785 0.5577 (multiplicity 8)  3 Tm 3.28-3.47, 4 Nd 3.44-3.53
Tm 0.0000 0.4780 0.7500 (multiplicity 4)  3 Nd 3.08-3.39, 2 Y 3.39
Tm 0.1556 0.1244 0.0595 (multiplicity 8)  1 Y 3.28, 5 Nd 3.39-3.50, 1 Tm 3.47

Output
**Total magnetization**: 0.00 μB/cell
**Fermi-level density of states**: 69.84 states/eV per cell
**ΔH_f (0 K)**: 1.79 eV/f.u.



Entry 2:
## Pr3Ga4Rh2 (PBE-GGA)

Data for an optimized crystal structure of Pr3Ga4Rh2.

Unit cell a=11.1023 b=4.4235 c=8.4974 alpha=90.00 beta=107.08 gamma=90.00
With the nearest neighbours (Å) after each atom.
Space group C2/m (No. 12)
One atom of each set of equivalent atoms:
Pr 0.0000 0.0000 0.0000 (multiplicity 2)  8 Ga 3.21-3.36
Pr 0.1221 0.5000 0.6944 (multiplicity 4)  8 Ga 3.10-3.43, 4 Rh 3.14-3.32
Ga 0.1012 0.0000 0.4076 (multiplicity 4)  3 Rh 2.49-2.60
Ga 0.2194 0.5000 0.0762 (multiplicity 4)  1 Rh 2.53, 2 Ga 2.75
Rh 0.1861 0.5000 0.3586 (multiplicity 4)  4 Ga 2.49-2.60

Output
**Total magnetization**: 0.00 μB/cell
**Fermi-level density of states**: 14.74 states/eV per cell
**ΔH_f (0 K)**: -6.42 eV/f.u.



Entry 3:
## NaU4Se6 (PBE-GGA)

Data for an optimized crystal structure of NaU4Se6.

Unit cell a=4.0214 b=13.4495 c=21.0434 alpha=90.00 beta=90.00 gamma=90.00
With the nearest neighbours (Å) after each atom.
Space group Cmcm (No. 63)
One atom of each set of equivalent atoms:
Na 0.0000 0.1736 0.2500 (multiplicity 4)  6 Se 2.99-3.17
U 0.0000 0.0848 0.6272 (multiplicity 8)  6 Se 2.79-2.91
U 0.0000 0.3575 0.5385 (multiplicity 8)  6 Se 2.87-2.95
Se 0.0000 0.0000 0.0000 (multiplicity 4)  6 U 2.89-2.91
Se 0.0000 0.1622 0.7500 (multiplicity 4)  2 U 2.79, 2 Na 2.99
Se 0.0000 0.2724 0.0905 (multiplicity 8)  5 U 2.88-2.95
Se 0.0000 0.4464 0.6623 (multiplicity 8)  3 U 2.84-2.87, 2 Na 3.17

Output
**Total magnetization**: 42.43 μB/cell
**Fermi-level density of states**: 87.57 states/eV per cell
**Formation energy without anion corrections**: -105 kJ per mole of atoms



Entry 4:
## MgHgOs2 (PBE-GGA)

Data for an optimized crystal structure of MgHgOs2.

Unit cell a=2.8639 b=3.4962 c=6.9242 alpha=90.00 beta=90.06 gamma=90.00
With the nearest neighbours (Å) after each atom.
Space group Pm (No. 6)
One atom of each set of equivalent atoms:
Mg 0.0000 0.0000 0.0000 (multiplicity 1)  5 Os 2.85-2.98, 2 Mg 2.86, 4 Hg 2.98-2.99
Hg 0.4978 0.5000 0.2817 (multiplicity 1)  2 Hg 2.86, 4 Mg 2.98-2.99, 4 Os 3.01
Os 0.4992 0.5000 0.7482 (multiplicity 1)  6 Os 2.58-2.86, 4 Mg 2.85
Os 0.9979 0.0000 0.5692 (multiplicity 1)  6 Os 2.58-2.86

Output
**Total magnetization**: 0.00 μB/cell
**Fermi-level density of states**: 2.13 states/eV per cell
**ΔH_f (0 K)**: 1.32 eV/f.u.



Which value of Fermi-level density of states does entry 4 give?
2.13 states/eV per cell